## ThCuBi (GGA-PBE)

Data for a relaxed ThCuBi crystal.

abc: 4.4646 4.4646 4.4752
angles: 90.00 90.00 120.00
Space group P3m1 (No. 156)
One atom of each set of equivalent atoms:
Th: 0.0000 0.0000 0.0000 [1 per cell]
Cu: 0.3333 0.6667 0.2994 [1 per cell]
Bi: 0.6667 0.3333 0.5197 [1 per cell]

Computed properties:
Its formation enthalpy at 0 K is -36.7 kJ per mole of atoms.



## ThCuBi (GGA-PBE)

Data for a relaxed ThCuBi crystal.

abc: 3.630 3.630 11.456
angles: 90.00 90.00 90.00
Space group I4mm (No. 107)
One atom of each set of equivalent atoms:
Th: 0.000 0.000 0.000 [2 per cell]
Cu: 0.000 0.000 0.649 [2 per cell]
Bi: 0.000 0.000 0.290 [2 per cell]

Computed properties:
Its formation enthalpy at 0 K is -12.7 kJ per mole of atoms.



## TiCuBi (GGA-PBE)

Data for a relaxed TiCuBi crystal.

abc: 4.916 7.110 6.537
angles: 90.00 90.00 90.00
Space group Ima2 (No. 46)
One atom of each set of equivalent atoms:
Ti: 0.250 0.147 0.000 [4 per cell]
Cu: 0.000 0.000 0.661 [4 per cell]
Bi: 0.250 0.671 0.805 [4 per cell]

Computed properties:
Its formation enthalpy at 0 K is 7.0 kJ per mole of atoms.



## TiCuBi2 (GGA-PBE)

Data for a relaxed TiCuBi2 crystal.

abc: 3.4729 3.4729 28.2924
angles: 90.00 90.00 120.00
Space group R-3m (No. 166, hexagonal axes)
One atom of each set of equivalent atoms:
Ti: 0.0000 0.0000 0.0000 [3 per cell]
Cu: 0.0000 0.0000 0.5000 [3 per cell]
Bi: 0.0000 0.0000 0.4084 [6 per cell]

Computed properties:
Its formation enthalpy at 0 K is 23.0 kJ per mole of atoms.



## TiCuBi (GGA-PBE)

Data for a relaxed TiCuBi crystal.

abc: 4.138 5.824 9.388
angles: 90.00 90.00 90.00
Space group Immm (No. 71)
One atom of each set of equivalent atoms:
Ti: 0.000 0.245 0.000 [4 per cell]
Cu: 0.000 0.500 0.373 [4 per cell]
Bi: 0.000 0.000 0.318 [4 per cell]

Computed properties:
Its formation enthalpy at 0 K is -1.4 kJ per mole of atoms.



## TiCuBi (GGA-PBE)

Data for a relaxed TiCuBi crystal.

abc: 10.546 4.013 6.915
angles: 90.00 128.10 90.00
Space group C2/m (No. 12)
One atom of each set of equivalent atoms:
Ti: 0.173 0.000 0.079 [4 per cell]
Cu: 0.149 0.000 0.673 [4 per cell]
Bi: 0.062 0.500 0.303 [4 per cell]

Computed properties:
Its formation enthalpy at 0 K is 1.3 kJ per mole of atoms.



## TiCuBi (GGA-PBE)

Data for a relaxed TiCuBi crystal.

abc: 10.406 4.114 5.617
angles: 90.00 103.50 90.00
Space group Cm (No. 8)
One atom of each set of equivalent atoms:
Ti: 0.000 0.000 0.000 [2 per cell]
Ti: 0.128 0.500 0.601 [2 per cell]
Cu: 0.158 0.500 0.116 [2 per cell]
Cu: 0.206 0.000 0.380 [2 per cell]
Bi: 0.286 0.000 0.901 [2 per cell]
Bi: 0.419 0.500 0.471 [2 per cell]

Computed properties:
Its formation enthalpy at 0 K is 1.8 kJ per mole of atoms.



## TiCu4Bi (GGA-PBE)

Data for a relaxed TiCu4Bi crystal.

abc: 7.206 7.206 7.206
angles: 90.00 90.00 90.00
Space group F-43m (No. 216)
One atom of each set of equivalent atoms:
Ti: 0.000 0.000 0.000 [4 per cell]
Cu: 0.126 0.126 0.626 [16 per cell]
Bi: 0.250 0.250 0.250 [4 per cell]

Computed properties:
Its formation enthalpy at 0 K is 12.3 kJ per mole of atoms.



## TiCu3Bi (GGA-PBE)

Data for a relaxed TiCu3Bi crystal.

abc: 4.695 4.695 4.695
angles: 90.00 90.00 90.00
Space group Pm-3m (No. 221)
One atom of each set of equivalent atoms:
Ti: 0.000 0.000 0.000 [1 per cell]
Cu: 0.000 0.000 0.500 [3 per cell]
Bi: 0.500 0.500 0.500 [1 per cell]

Computed properties:
Its formation enthalpy at 0 K is 91.3 kJ per mole of atoms.



## TiCuBi (GGA-PBE)

Data for a relaxed TiCuBi crystal.

abc: 4.022 9.848 5.771
angles: 90.00 90.00 90.00
Space group Cmcm (No. 63)
One atom of each set of equivalent atoms:
Ti: 0.000 0.000 0.000 [4 per cell]
Cu: 0.000 0.373 0.250 [4 per cell]
Bi: 0.000 0.323 0.750 [4 per cell]

Computed properties:
Its formation enthalpy at 0 K is 4.7 kJ per mole of atoms.



## TiCuBi2 (GGA-PBE)

Data for a relaxed TiCuBi2 crystal.

abc: 7.676 7.676 6.429
angles: 90.00 90.00 90.00
Space group I-42d (No. 122)
One atom of each set of equivalent atoms:
Ti: 0.000 0.000 0.000 [4 per cell]
Cu: 0.000 0.000 0.500 [4 per cell]
Bi: 0.223 0.250 0.625 [8 per cell]

Computed properties:
Its formation enthalpy at 0 K is 32.8 kJ per mole of atoms.



## TiCuBi3 (GGA-PBE)

Data for a relaxed TiCuBi3 crystal.

abc: 5.365 5.365 5.365
angles: 90.00 90.00 90.00
Space group Pm-3m (No. 221)
One atom of each set of equivalent atoms:
Ti: 0.000 0.000 0.000 [1 per cell]
Cu: 0.500 0.500 0.500 [1 per cell]
Bi: 0.000 0.000 0.500 [3 per cell]

Computed properties:
Its formation enthalpy at 0 K is 51.5 kJ per mole of atoms.